[1]
# PBE-GGA Zr2ScSnB, relaxed
data_Zr2ScSnB
_chemical_formula_sum 'Zr2 Sc1 Sn1 B1'
_space_group_name_H-M_alt 'P 1'
_space_group_IT_number 1
_cell_length_a 4.6658
_cell_length_b 4.6658
_cell_length_c 4.6111
_cell_angle_alpha 90.00
_cell_angle_beta 90.00
_cell_angle_gamma 90.00
loop_
_space_group_symop_operation_xyz
'x,y,z'
loop_
_atom_site_label
_atom_site_type_symbol
_atom_site_fract_x
_atom_site_fract_y
_atom_site_fract_z
Zr1 Zr 0.0000 0.5000 0.0000
Zr2 Zr 0.5000 0.0000 0.0000
Sn1 Sn 0.5000 0.5000 0.5000
Sc1 Sc 0.0000 0.0000 0.5000
B1 B 0.0000 0.0000 0.0000
# - ΔE_f (eV/f.u.) = -2.7



[2]
# PBE-GGA SrScB3, relaxed
data_SrScB3
_chemical_formula_sum 'Sr1 Sc1 B3'
_space_group_name_H-M_alt 'P 1'
_space_group_IT_number 1
_cell_length_a 4.5604
_cell_length_b 4.5604
_cell_length_c 4.5604
_cell_angle_alpha 90.00
_cell_angle_beta 90.00
_cell_angle_gamma 90.00
loop_
_space_group_symop_operation_xyz
'x,y,z'
loop_
_atom_site_label
_atom_site_type_symbol
_atom_site_fract_x
_atom_site_fract_y
_atom_site_fract_z
B1 B 0.5000 0.0000 0.0000
B2 B 0.0000 0.5000 0.0000
B3 B 0.0000 0.0000 0.5000
Sc1 Sc 0.0000 0.0000 0.0000
Sr1 Sr 0.5000 0.5000 0.5000
# - ΔE_f (eV/f.u.) = 6.0



[3]
# PBE-GGA Sr3ScB, relaxed
data_Sr3ScB
_chemical_formula_sum 'Sr3 Sc1 B1'
_space_group_name_H-M_alt 'P 1'
_space_group_IT_number 1
_cell_length_a 5.7219
_cell_length_b 5.7219
_cell_length_c 5.7219
_cell_angle_alpha 90.00
_cell_angle_beta 90.00
_cell_angle_gamma 90.00
loop_
_space_group_symop_operation_xyz
'x,y,z'
loop_
_atom_site_label
_atom_site_type_symbol
_atom_site_fract_x
_atom_site_fract_y
_atom_site_fract_z
Sr1 Sr 0.5000 0.0000 0.0000
Sr2 Sr 0.0000 0.0000 0.5000
Sr3 Sr 0.0000 0.5000 0.0000
Sc1 Sc 0.5000 0.5000 0.5000
B1 B 0.0000 0.0000 0.0000
# - ΔE_f (eV/f.u.) = 3.0



[4]
# PBE-GGA Sr2ScB2, relaxed
data_Sr2ScB2
_chemical_formula_sum 'Sr2 Sc1 B2'
_space_group_name_H-M_alt 'P 1'
_space_group_IT_number 1
_cell_length_a 4.3911
_cell_length_b 4.3911
_cell_length_c 6.5262
_cell_angle_alpha 70.34
_cell_angle_beta 70.34
_cell_angle_gamma 90.00
loop_
_space_group_symop_operation_xyz
'x,y,z'
loop_
_atom_site_label
_atom_site_type_symbol
_atom_site_fract_x
_atom_site_fract_y
_atom_site_fract_z
Sc1 Sc 0.0000 0.0000 0.0000
B1 B 0.5689 0.5689 0.8622
B2 B 0.4311 0.4311 0.1378
Sr1 Sr 0.2500 0.7500 0.5000
Sr2 Sr 0.7500 0.2500 0.5000
# - ΔE_f (eV/f.u.) = 3.0